This record from OQMD describes a relaxed structure of PtSe. The functional is PBE.

final energy = -5.06 eV per atom

```
data_PtSe
_space_group_name_H-M_alt 'P 42/m'
_space_group_IT_number 84
_space_group_name_Hall '-P 4c'
_cell_length_a 6.784
_cell_length_b 6.784
_cell_length_c 6.995
_cell_angle_alpha 90.00
_cell_angle_beta 90.00
_cell_angle_gamma 90.00
loop_
_atom_site_label
_atom_site_fract_x
_atom_site_fract_y
_atom_site_fract_z
Pt1 0.000 0.000 0.250
Pt2 0.000 0.500 0.000
Pt3 0.258 0.527 0.500
Se1 0.195 0.307 0.227
```